No. 1
First-principles (PBE) data for a relaxed structure of MnAsPb, as listed in the Alexandria database.

a b c (Å): 4.6282 4.6282 4.6282
angles (deg): 60.00 60.00 60.00
Last column: magnetic moment on the atom in μB.
Element x y z (fractional)
As: 0.5000 0.5000 0.5000  0.03
Mn: 0.2500 0.2500 0.2500  3.70
Pb: 0.0000 0.0000 0.0000  -0.04

Results
- E_form (kJ/mol of atoms) = 26
- calculated volume (Å³/cell) = 70.1
- DFT total energy (eV per atom) = -5.571
- excess energy over the best structure of this formula in the dataset (eV/atom) = 0.215

=====

No. 2
First-principles (PBE) data for a relaxed structure of Ce3PuU4P8, as listed in the Alexandria database.

a b c (Å): 7.9527 8.0818 7.9531
angles (deg): 119.48 120.00 90.00
Last column: magnetic moment on the atom in μB.
Element x y z (fractional)
Ce: 0.5000 0.5000 0.0000  0.53
Ce: 0.5000 0.5000 0.5000  0.53
Ce: 0.0000 0.5000 0.5000  0.53
Pu: 0.0000 0.5000 0.0000  5.08
U: 0.5000 0.0000 0.0000  2.04
U: 0.5000 0.0000 0.5000  2.02
U: 0.0000 0.0000 0.0000  2.02
U: 0.0000 0.0000 0.5000  2.02
P: 0.2516 0.7597 0.0081  -0.07
P: 0.2517 0.7598 0.5034  -0.07
P: 0.2462 0.2386 0.4924  -0.05
P: 0.7565 0.7597 0.0081  -0.07
P: 0.2435 0.2403 0.9919  -0.07
P: 0.7538 0.7614 0.5076  -0.05
P: 0.7483 0.2402 0.4966  -0.07
P: 0.7484 0.2403 0.9919  -0.07

Results
- E_form (kJ/mol of atoms) = -114
- calculated volume (Å³/cell) = 364.3
- DFT total energy (eV per atom) = -8.718

=====

No. 3
First-principles (PBE) data for a relaxed structure of CaYHg2, as listed in the Alexandria database.

a b c (Å): 3.9154 3.9154 9.1374
angles (deg): 77.63 77.63 60.00
Element x y z (fractional)
Ca: 0.6665 0.6665 0.0005
Y: 0.5001 0.5001 0.4998
Hg: 0.0856 0.0856 0.7432
Hg: 0.2478 0.2478 0.2565

Results
- E_form (kJ/mol of atoms) = -36
- calculated volume (Å³/cell) = 117.5
- DFT total energy (eV per atom) = -2.643
- excess energy over the best structure of this formula in the dataset (eV/atom) = 0.174

=====

No. 4
First-principles (PBE) data for a relaxed structure of Rb2PdO, as listed in the Alexandria database.

a b c (Å): 3.6638 3.6638 10.0452
angles (deg): 79.49 79.49 60.00
Last column: magnetic moment on the atom in μB.
Element x y z (fractional)
O: 0.5000 0.5000 0.5000  0.38
Rb: 0.1095 0.1095 0.6714  0.00
Rb: 0.8905 0.8905 0.3286  0.00
Pd: 0.0000 0.0000 0.0000  0.03

Results
- calculated volume (Å³/cell) = 114.2
- raw formation energy (eV/atom) = -0.1164
- DFT total energy (eV per atom) = -3.138